A plane-wave DFT calculation with SCAN was carried out for a PBEsol-optimized structure of Cr3CdPd.

Cell: 4.882 4.882 4.882 Å, 90.00 90.00 90.00°
Space group Pm-3m (No. 221)
Asymmetric unit:
Cr  0.000  0.000  0.500 [3 per cell]
Cd  0.000  0.000  0.000 [1 per cell]
Pd  0.500  0.500  0.500 [1 per cell]

Properties
ΔE_f: 1.44 eV/atom
energy: -1.633 Ry per atom
spin magnetization: 13.64 μB/f.u.

***

A plane-wave DFT calculation with SCAN was carried out for a PBEsol-optimized structure of CrCd2Pt.

Cell: 4.118 4.118 7.953 Å, 90.00 90.00 90.00°
Space group I-4m2 (No. 119)
Asymmetric unit:
Cr  0.000  0.000  0.000 [2 per cell]
Cd  0.000  0.000  0.500 [2 per cell]
Cd  0.000  0.500  0.250 [2 per cell]
Pt  0.000  0.500  0.750 [2 per cell]

Properties
ΔE_f: -0.16 eV/atom
energy: -2.757 Ry per atom
spin magnetization: 4.06 μB/f.u.

***

A plane-wave DFT calculation with SCAN was carried out for a PBEsol-optimized structure of Cr4CdPt.

Cell: 6.776 6.776 6.776 Å, 90.00 90.00 90.00°
Space group F-43m (No. 216)
Asymmetric unit:
Cr  0.122  0.122  0.122 [16 per cell]
Cd  0.250  0.250  0.750 [4 per cell]
Pt  0.000  0.000  0.500 [4 per cell]

Properties
ΔE_f: 0.22 eV/atom
energy: -2.117 Ry per atom
spin magnetization: 0.00 μB/f.u.

***

A plane-wave DFT calculation with SCAN was carried out for a PBEsol-optimized structure of CrCd2Pt.

Cell: 2.990 3.939 5.772 Å, 90.00 90.00 90.00°
Space group Pmmm (No. 47)
Asymmetric unit:
Cr  0.000  0.000  0.000 [1 per cell]
Cd  0.500  0.500  0.253 [2 per cell]
Pt  0.000  0.000  0.500 [1 per cell]

Properties
ΔE_f: -0.14 eV/atom
energy: -2.756 Ry per atom
spin magnetization: 4.23 μB/f.u.

***

A plane-wave DFT calculation with SCAN was carried out for a PBEsol-optimized structure of CrCdPt4.

Cell: 7.375 7.375 7.375 Å, 90.00 90.00 90.00°
Space group F-43m (No. 216)
Asymmetric unit:
Cr  0.000  0.000  0.000 [4 per cell]
Cd  0.250  0.250  0.750 [4 per cell]
Pt  0.125  0.125  0.375 [16 per cell]

Properties
ΔE_f: -0.20 eV/atom
energy: -4.052 Ry per atom
spin magnetization: 4.05 μB/f.u.

***

A plane-wave DFT calculation with SCAN was carried out for a PBEsol-optimized structure of Rb2ZnCrCd.

Cell: 6.669 6.669 5.292 Å, 90.00 90.00 90.00°
Space group P4/mmm (No. 123)
Asymmetric unit:
Rb  0.000  0.500  0.000 [2 per cell]
Zn  0.000  0.000  0.500 [1 per cell]
Cr  0.500  0.500  0.500 [1 per cell]
Cd  0.500  0.500  0.000 [1 per cell]

Properties
ΔE_f: 0.57 eV/atom
energy: -1.484 Ry per atom
spin magnetization: 4.85 μB/f.u.

***

A plane-wave DFT calculation with SCAN was carried out for a PBEsol-optimized structure of CrCdRe.

Cell: 2.991 2.991 10.219 Å, 90.00 90.00 90.00°
Space group I4mm (No. 107)
Asymmetric unit:
Cr  0.000  0.000  0.000 [2 per cell]
Cd  0.000  0.000  0.315 [2 per cell]
Re  0.000  0.000  0.617 [2 per cell]

Properties
ΔE_f: 0.34 eV/atom
energy: -2.913 Ry per atom
spin magnetization: 0.00 μB/f.u.

***

A plane-wave DFT calculation with SCAN was carried out for a PBEsol-optimized structure of CrCdRe.

Cell: 6.090 6.090 6.090 Å, 90.00 90.00 90.00°
Space group F-43m (No. 216)
Asymmetric unit:
Cr  0.000  0.000  0.000 [4 per cell]
Cd  0.250  0.250  0.750 [4 per cell]
Re  0.000  0.000  0.500 [4 per cell]

Properties
ΔE_f: 1.44 eV/atom
energy: -2.832 Ry per atom
spin magnetization: 1.83 μB/f.u.

***

Among the records above, which one has the lowest energy?
CrCdPt4